Entry from the Alexandria database: a relaxed structure of Nd12Ir5Pd3 (GGA-PBE).

E_form ... -5.66 eV per formula unit
Mass density ... 7.956 g/cm³
DOS at the Fermi energy ... 15.84 states/eV/f.u.

Lattice parameters (Å, degrees): 14.8365 14.8365 14.8365 109.47 109.47 109.47
Atoms (fractional coordinates):
Pd 0.2500 0.6250 0.8750
Pd 0.1250 0.8750 0.7500
Pd 0.1250 0.2500 0.8750
Pd 0.3750 0.7500 0.6250
Pd 0.3750 0.6250 0.2500
Pd 0.8750 0.1250 0.2500
Pd 0.7500 0.8750 0.6250
Pd 0.8750 0.7500 0.1250
Pd 0.6250 0.3750 0.7500
Pd 0.2500 0.1250 0.3750
Pd 0.6250 0.2500 0.3750
Pd 0.7500 0.3750 0.1250
Ir 0.5000 0.5000 0.5000
Ir 0.1250 0.3750 0.2500
Ir 0.1250 0.7500 0.3750
Ir 0.3750 0.2500 0.1250
Ir 0.8750 0.2500 0.6250
Ir 0.8750 0.6250 0.7500
Ir 0.0000 0.5000 0.0000
Ir 0.2500 0.8750 0.1250
Ir 0.6250 0.8750 0.2500
Ir 0.5000 0.0000 0.0000
Ir 0.0000 0.5000 0.5000
Ir 0.7500 0.1250 0.8750
Ir 0.0000 0.0000 0.5000
Ir 0.0000 0.0000 0.0000
Ir 0.2500 0.3750 0.6250
Ir 0.5000 0.0000 0.5000
Ir 0.7500 0.6250 0.3750
Ir 0.3750 0.1250 0.7500
Ir 0.5000 0.5000 0.0000
Ir 0.6250 0.7500 0.8750
Nd 0.3257 0.7847 0.4106
Nd 0.7153 0.1259 0.0410
Nd 0.2153 0.6743 0.0894
Nd 0.1743 0.0848 0.9590
Nd 0.3741 0.4152 0.0894
Nd 0.5848 0.9590 0.6743
Nd 0.2847 0.4106 0.8257
Nd 0.9152 0.8257 0.5410
Nd 0.8257 0.9106 0.2847
Nd 0.4152 0.0410 0.3257
Nd 0.7847 0.3257 0.9106
Nd 0.4152 0.3741 0.5894
Nd 0.0410 0.6259 0.7153
Nd 0.4106 0.1259 0.5848
Nd 0.0848 0.1743 0.4590
Nd 0.2153 0.5410 0.6259
Nd 0.5410 0.2153 0.1259
Nd 0.7847 0.4590 0.3741
Nd 0.4106 0.2847 0.3257
Nd 0.2847 0.8741 0.9590
Nd 0.1743 0.0894 0.7153
Nd 0.3257 0.5410 0.4152
Nd 0.8741 0.2847 0.4590
Nd 0.1259 0.4106 0.0848
Nd 0.5894 0.7153 0.6743
Nd 0.7153 0.5894 0.1743
Nd 0.1259 0.7153 0.5410
Nd 0.8741 0.5894 0.9152
Nd 0.9106 0.0848 0.6259
Nd 0.0894 0.9152 0.3741
Nd 0.6743 0.4590 0.5848
Nd 0.5410 0.3257 0.9152
Nd 0.5848 0.6259 0.4106
Nd 0.4590 0.6743 0.0848
Nd 0.6259 0.0410 0.2153
Nd 0.5894 0.8741 0.4152
Nd 0.0848 0.9106 0.1259
Nd 0.8257 0.9152 0.0410
Nd 0.0410 0.4152 0.8257
Nd 0.6743 0.2153 0.5894
Nd 0.0894 0.1743 0.2153
Nd 0.4590 0.7847 0.8741
Nd 0.9152 0.0894 0.8741
Nd 0.9590 0.5848 0.1743
Nd 0.6259 0.5848 0.9106
Nd 0.9106 0.8257 0.7847
Nd 0.3741 0.9590 0.7847
Nd 0.9590 0.3741 0.2847